Density functional theory data (PBE) for ZnInMo2 after structural relaxation.

Unit cell a=10.3108 b=10.3108 c=10.3108 alpha=158.67 beta=158.67 gamma=30.34
With the nearest neighbours (Å) after each atom.
Sites, in units of the cell vectors:
Zn 0.0000 0.0000 0.0000  4 In 2.70, 4 Mo 2.81
Zn 0.7500 0.2500 0.5000  4 In 2.70, 4 Mo 2.81
In 0.2500 0.7500 0.5000  4 Zn 2.70, 4 Mo 2.86
In 0.5000 0.5000 0.0000  4 Zn 2.70, 4 Mo 2.86
Mo 0.1047 0.6250 0.9797  4 Mo 2.59-2.81, 2 Zn 2.81, 2 In 2.86
Mo 0.3750 0.3547 0.4797  4 Mo 2.59-2.81, 2 Zn 2.81, 2 In 2.86
Mo 0.6453 0.1250 0.0203  4 Mo 2.59-2.81, 2 Zn 2.81, 2 In 2.86
Mo 0.8750 0.8953 0.5203  4 Mo 2.59-2.81, 2 Zn 2.81, 2 In 2.86

Properties
The calculation puts the energy relative to the lowest polymorph listed for this composition at 0.431 eV per atom. As for the energy of formation: 584 meV per atom. The calculation puts the total energy at -5.834 eV/atom.